Compound: TlAg2
Source: Alexandria
Functional: GGA-PBEsol
Structure: optimized geometry

Cell: 5.785 5.785 7.229 Å, 110.87 110.87 31.42°
Fractional coordinates of all 6 atoms:
Tl: 0.162 0.162 0.125
Tl: 0.838 0.838 0.875
Ag: 0.149 0.149 0.527
Ag: 0.456 0.456 0.247
Ag: 0.544 0.544 0.753
Ag: 0.851 0.851 0.473

Results
Raw total energy ... -9.00 eV per formula unit
Formation enthalpy at 0 K ... 0.085 eV/atom
Relative energy among the computed polymorphs ... 0.00 eV/f.u.
Crystal system ... monoclinic

---

Compound: Tl2Ag
Source: Alexandria
Functional: GGA-PBEsol
Structure: optimized geometry

Cell: 5.692 5.692 8.279 Å, 99.94 99.94 33.11°
Fractional coordinates of all 6 atoms:
Tl: 0.000 0.000 0.000
Tl: 0.039 0.039 0.420
Tl: 0.335 0.335 0.633
Tl: 0.754 0.754 0.257
Ag: 0.265 0.265 0.960
Ag: 0.612 0.612 0.731

Results
Raw total energy ... -8.29 eV per formula unit
Formation enthalpy at 0 K ... 0.093 eV/atom
Crystal system ... monoclinic

---

Compound: TlAg5
Source: Alexandria
Functional: GGA-PBEsol
Structure: optimized geometry

Cell: 5.071 5.071 4.770 Å, 90.00 90.00 120.00°
Fractional coordinates of all 6 atoms:
Tl: 0.000 0.000 0.000
Ag: 0.000 0.345 0.500
Ag: 0.333 0.667 0.000
Ag: 0.345 0.000 0.500
Ag: 0.655 0.655 0.500
Ag: 0.667 0.333 0.000

Results
Raw total energy ... -18.90 eV per formula unit
Formation enthalpy at 0 K ... 0.047 eV/atom
Relative energy among the computed polymorphs ... 0.00 eV/f.u.
Crystal system ... hexagonal

---

Compound: Tl2Ag
Source: Alexandria
Functional: GGA-PBEsol
Structure: optimized geometry

Cell: 6.768 6.768 6.719 Å, 105.08 105.08 28.86°
Fractional coordinates of all 6 atoms:
Tl: 0.146 0.146 0.073
Tl: 0.155 0.155 0.582
Tl: 0.845 0.845 0.418
Tl: 0.854 0.854 0.927
Ag: 0.499 0.499 0.736
Ag: 0.501 0.501 0.264

Results
Raw total energy ... -8.28 eV per formula unit
Formation enthalpy at 0 K ... 0.098 eV/atom
Crystal system ... monoclinic

---

Compound: Tl3Ag
Source: Alexandria
Functional: GGA-PBEsol
Structure: optimized geometry

Cell: 7.475 8.893 6.124 Å, 90.00 90.00 90.00°
Fractional coordinates of all 16 atoms:
Tl: 0.013 0.250 0.100
Tl: 0.190 0.050 0.640
Tl: 0.190 0.450 0.640
Tl: 0.310 0.550 0.140
Tl: 0.310 0.950 0.140
Tl: 0.487 0.750 0.600
Tl: 0.513 0.250 0.400
Tl: 0.690 0.050 0.860
Tl: 0.690 0.450 0.860
Tl: 0.810 0.550 0.360
Tl: 0.810 0.950 0.360
Tl: 0.987 0.750 0.900
Ag: 0.112 0.750 0.442
Ag: 0.388 0.250 0.942
Ag: 0.612 0.750 0.058
Ag: 0.888 0.250 0.558

Results
Raw total energy ... -10.88 eV per formula unit
Formation enthalpy at 0 K ... 0.080 eV/atom
Relative energy among the computed polymorphs ... 0.03 eV/f.u.
Crystal system ... orthorhombic

---

Compound: Tm2TlAg
Source: Alexandria
Functional: GGA-PBEsol
Structure: optimized geometry

Cell: 5.104 5.104 5.104 Å, 60.00 60.00 60.00°
Fractional coordinates of all 4 atoms:
Tm: 0.250 0.250 0.250
Tm: 0.750 0.750 0.750
Tl: 0.000 0.000 0.000
Ag: 0.500 0.500 0.500

Results
Raw total energy ... -17.26 eV per formula unit
Formation enthalpy at 0 K ... -0.380 eV/atom
Crystal system ... cubic

---

Compound: Tl2AgW
Source: Alexandria
Functional: GGA-PBEsol
Structure: optimized geometry

Cell: 10.200 10.200 10.200 Å, 17.17 17.17 17.17°
Fractional coordinates of all 4 atoms:
Tl: 0.000 0.000 0.000
Tl: 0.238 0.238 0.238
Ag: 0.487 0.487 0.487
W: 0.748 0.748 0.748

Results
Raw total energy ... -19.70 eV per formula unit
Formation enthalpy at 0 K ... 0.669 eV/atom
Relative energy among the computed polymorphs ... 0.00 eV/f.u.
Crystal system ... trigonal

---

Compound: Tl2AgW
Source: Alexandria
Functional: GGA-PBEsol
Structure: optimized geometry

Cell: 5.000 5.000 5.649 Å, 99.91 99.91 34.35°
Fractional coordinates of all 4 atoms:
Tl: 0.249 0.249 0.243
Tl: 0.751 0.751 0.757
Ag: 0.000 0.000 0.500
W: 0.500 0.500 0.000

Results
Raw total energy ... -19.09 eV per formula unit
Formation enthalpy at 0 K ... 0.822 eV/atom
Relative energy among the computed polymorphs ... 0.61 eV/f.u.
Crystal system ... monoclinic

---

Compound: Tl2AgW
Source: Alexandria
Functional: GGA-PBEsol
Structure: optimized geometry

Cell: 3.065 3.065 9.790 Å, 90.00 90.00 120.53°
Fractional coordinates of all 4 atoms:
Tl: 0.000 0.000 0.250
Tl: 0.000 0.000 0.750
Ag: 0.500 0.500 0.000
W: 0.500 0.500 0.500

Results
Raw total energy ... -19.60 eV per formula unit
Formation enthalpy at 0 K ... 0.694 eV/atom
Relative energy among the computed polymorphs ... 0.10 eV/f.u.
Crystal system ... orthorhombic

---

Compound: TlAgW2
Source: Alexandria
Functional: GGA-PBEsol
Structure: optimized geometry

Cell: 5.342 5.342 5.342 Å, 143.67 127.56 65.47°
Fractional coordinates of all 4 atoms:
Tl: 0.000 0.000 0.000
Ag: 0.256 0.756 0.500
W: 0.520 0.520 0.000
W: 0.730 0.230 0.500

Results
Raw total energy ... -30.38 eV per formula unit
Formation enthalpy at 0 K ... 0.795 eV/atom
Crystal system ... orthorhombic

---

Compound: YTlAg2
Source: Alexandria
Functional: GGA-PBEsol
Structure: optimized geometry

Cell: 4.889 4.889 4.889 Å, 60.00 60.00 60.00°
Fractional coordinates of all 4 atoms:
Y: 0.000 0.000 0.000
Tl: 0.500 0.500 0.500
Ag: 0.250 0.250 0.250
Ag: 0.750 0.750 0.750

Results
Raw total energy ... -17.24 eV per formula unit
Formation enthalpy at 0 K ... -0.291 eV/atom
Relative energy among the computed polymorphs ... 0.00 eV/f.u.
Crystal system ... cubic

---

Compound: YTl2Ag
Source: Alexandria
Functional: GGA-PBEsol
Structure: optimized geometry

Cell: 4.637 4.637 4.310 Å, 90.00 90.00 90.00°
Fractional coordinates of all 4 atoms:
Y: 0.000 0.000 0.000
Tl: 0.000 0.500 0.500
Tl: 0.500 0.000 0.500
Ag: 0.500 0.500 0.000

Results
Raw total energy ... -16.44 eV per formula unit
Formation enthalpy at 0 K ... -0.262 eV/atom
Crystal system ... tetragonal

---

Compound: Y2TlAg
Source: Alexandria
Functional: GGA-PBEsol
Structure: optimized geometry

Cell: 3.760 4.709 5.989 Å, 90.00 107.83 90.00°
Fractional coordinates of all 4 atoms:
Y: 0.000 0.000 0.000
Y: 0.293 0.500 0.594
Tl: 0.724 0.000 0.456
Ag: 0.567 0.500 0.134

Results
Raw total energy ... -21.04 eV per formula unit
Formation enthalpy at 0 K ... -0.364 eV/atom
Relative energy among the computed polymorphs ... 0.20 eV/f.u.
Crystal system ... monoclinic

---

Compound: YTlAg4
Source: Alexandria
Functional: GGA-PBEsol
Structure: optimized geometry

Cell: 5.494 5.494 5.494 Å, 60.00 60.00 60.00°
Fractional coordinates of all 6 atoms:
Y: 0.000 0.000 0.000
Tl: 0.250 0.250 0.250
Ag: 0.125 0.625 0.625
Ag: 0.625 0.125 0.625
Ag: 0.625 0.625 0.125
Ag: 0.625 0.625 0.625

Results
Raw total energy ... -23.95 eV per formula unit
Formation enthalpy at 0 K ... -0.209 eV/atom
Crystal system ... cubic

---

Compound: YTlAg2
Source: Alexandria
Functional: GGA-PBEsol
Structure: optimized geometry

Cell: 3.508 3.508 6.930 Å, 90.00 90.00 90.00°
Fractional coordinates of all 4 atoms:
Y: 0.000 0.000 0.000
Tl: 0.500 0.500 0.700
Ag: 0.000 0.000 0.463
Ag: 0.500 0.500 0.257

Results
Raw total energy ... -16.68 eV per formula unit
Formation enthalpy at 0 K ... -0.152 eV/atom
Relative energy among the computed polymorphs ... 0.55 eV/f.u.
Crystal system ... tetragonal

---

Compound: YTl2Ag
Source: Alexandria
Functional: GGA-PBEsol
Structure: optimized geometry

Cell: 3.512 3.512 7.439 Å, 90.00 90.00 90.00°
Fractional coordinates of all 4 atoms:
Y: 0.000 0.000 0.000
Tl: 0.500 0.500 0.274
Tl: 0.500 0.500 0.726
Ag: 0.000 0.000 0.500

Results
Raw total energy ... -16.03 eV per formula unit
Formation enthalpy at 0 K ... -0.160 eV/atom
Crystal system ... tetragonal

---

Compound: YTl2Ag
Source: Alexandria
Functional: GGA-PBEsol
Structure: optimized geometry

Cell: 5.551 5.551 5.551 Å, 131.62 131.62 70.83°
Fractional coordinates of all 4 atoms:
Y: 0.000 0.000 0.000
Tl: 0.250 0.750 0.500
Tl: 0.500 0.500 0.000
Ag: 0.750 0.250 0.500

Results
Raw total energy ... -16.23 eV per formula unit
Formation enthalpy at 0 K ... -0.208 eV/atom
Crystal system ... tetragonal

---

Compound: YTl2Ag
Source: Alexandria
Functional: GGA-PBEsol
Structure: optimized geometry

Cell: 5.745 5.745 5.745 Å, 141.48 124.13 69.91°
Fractional coordinates of all 4 atoms:
Y: 0.000 0.000 0.000
Tl: 0.269 0.769 0.500
Tl: 0.731 0.231 0.500
Ag: 0.500 0.500 0.000

Results
Raw total energy ... -15.93 eV per formula unit
Formation enthalpy at 0 K ... -0.134 eV/atom
Crystal system ... orthorhombic

---

Compound: Y2TlAg
Source: Alexandria
Functional: GGA-PBEsol
Structure: optimized geometry

Cell: 5.178 5.178 5.178 Å, 60.00 60.00 60.00°
Fractional coordinates of all 4 atoms:
Y: 0.250 0.250 0.250
Y: 0.750 0.750 0.750
Tl: 0.000 0.000 0.000
Ag: 0.500 0.500 0.500

Results
Raw total energy ... -21.25 eV per formula unit
Formation enthalpy at 0 K ... -0.415 eV/atom
Relative energy among the computed polymorphs ... 0.00 eV/f.u.
Crystal system ... cubic

---

Compound: YTlAg3
Source: Alexandria
Functional: GGA-PBEsol
Structure: optimized geometry

Cell: 5.397 5.397 5.397 Å, 90.00 90.00 90.00°
Fractional coordinates of all 5 atoms:
Y: 0.000 0.000 0.000
Tl: 0.500 0.500 0.500
Ag: 0.000 0.000 0.500
Ag: 0.000 0.500 0.000
Ag: 0.500 0.000 0.000

Results
Raw total energy ... -15.13 eV per formula unit
Formation enthalpy at 0 K ... 0.852 eV/atom
Crystal system ... cubic

---

Compound: YTlAg2
Source: Alexandria
Functional: GGA-PBEsol
Structure: optimized geometry

Cell: 4.897 4.897 4.897 Å, 60.00 60.00 60.00°
Fractional coordinates of all 4 atoms:
Y: 0.000 0.000 0.000
Tl: 0.750 0.750 0.750
Ag: 0.250 0.250 0.250
Ag: 0.500 0.500 0.500

Results
Raw total energy ... -17.10 eV per formula unit
Formation enthalpy at 0 K ... -0.257 eV/atom
Relative energy among the computed polymorphs ... 0.14 eV/f.u.
Crystal system ... cubic

---

Compound: Y2TlAg
Source: Alexandria
Functional: GGA-PBEsol
Structure: optimized geometry

Cell: 3.603 3.603 7.534 Å, 90.00 90.00 90.00°
Fractional coordinates of all 4 atoms:
Y: 0.000 0.000 0.236
Y: 0.000 0.000 0.764
Tl: 0.500 0.500 0.500
Ag: 0.500 0.500 0.000

Results
Raw total energy ... -21.21 eV per formula unit
Formation enthalpy at 0 K ... -0.406 eV/atom
Relative energy among the computed polymorphs ... 0.04 eV/f.u.
Crystal system ... tetragonal

---

Compound: YTlAg2
Source: Alexandria
Functional: GGA-PBEsol
Structure: optimized geometry

Cell: 4.488 4.488 4.282 Å, 90.00 90.00 90.00°
Fractional coordinates of all 4 atoms:
Y: 0.000 0.000 0.000
Tl: 0.500 0.500 0.000
Ag: 0.000 0.500 0.500
Ag: 0.500 0.000 0.500

Results
Raw total energy ... -16.76 eV per formula unit
Formation enthalpy at 0 K ... -0.171 eV/atom
Relative energy among the computed polymorphs ... 0.48 eV/f.u.
Crystal system ... tetragonal

---

Compound: TlZnAg
Source: Alexandria
Functional: GGA-PBEsol
Structure: optimized geometry

Cell: 6.365 6.364 3.128 Å, 75.80 75.75 28.45°
Fractional coordinates of all 3 atoms:
Tl: 0.000 0.000 0.000
Zn: 0.686 0.686 0.314
Ag: 0.311 0.311 0.689

Results
Raw total energy ... -7.14 eV per formula unit
Formation enthalpy at 0 K ... 0.129 eV/atom
Crystal system ... orthorhombic

---

Compound: Tl2ZnAg
Source: Alexandria
Functional: GGA-PBEsol
Structure: optimized geometry

Cell: 8.967 8.967 8.967 Å, 21.67 21.67 21.67°
Fractional coordinates of all 4 atoms:
Tl: 0.249 0.249 0.249
Tl: 0.751 0.751 0.751
Zn: 0.500 0.500 0.500
Ag: 0.000 0.000 0.000

Results
Raw total energy ... -9.41 eV per formula unit
Formation enthalpy at 0 K ... 0.185 eV/atom
Relative energy among the computed polymorphs ... 0.28 eV/f.u.
Crystal system ... trigonal

---

Compound: TlZn2Ag
Source: Alexandria
Functional: GGA-PBEsol
Structure: optimized geometry

Cell: 9.054 9.054 9.054 Å, 19.68 19.68 19.68°
Fractional coordinates of all 4 atoms:
Tl: 0.000 0.000 0.000
Zn: 0.242 0.242 0.242
Zn: 0.758 0.758 0.758
Ag: 0.500 0.500 0.500

Results
Raw total energy ... -8.48 eV per formula unit
Formation enthalpy at 0 K ... 0.156 eV/atom
Relative energy among the computed polymorphs ... 0.03 eV/f.u.
Crystal system ... trigonal

---

Compound: Tl2ZnAg
Source: Alexandria
Functional: GGA-PBEsol
Structure: optimized geometry

Cell: 4.419 5.519 5.519 Å, 40.34 90.00 90.00°
Fractional coordinates of all 4 atoms:
Tl: 0.000 0.000 0.000
Tl: 0.500 0.303 0.303
Zn: 0.000 0.726 0.726
Ag: 0.500 0.582 0.582

Results
Raw total energy ... -9.69 eV per formula unit
Formation enthalpy at 0 K ... 0.115 eV/atom
Relative energy among the computed polymorphs ... 0.00 eV/f.u.
Crystal system ... orthorhombic

---

Compound: TlZn4Ag
Source: Alexandria
Functional: GGA-PBEsol
Structure: optimized geometry

Cell: 5.202 5.202 5.202 Å, 60.00 60.00 60.00°
Fractional coordinates of all 6 atoms:
Tl: 0.000 0.000 0.000
Zn: 0.376 0.376 0.376
Zn: 0.376 0.376 0.871
Zn: 0.376 0.871 0.376
Zn: 0.871 0.376 0.376
Ag: 0.750 0.750 0.750

Results
Raw total energy ... -11.70 eV per formula unit
Formation enthalpy at 0 K ... 0.095 eV/atom
Crystal system ... cubic

---

Compound: Tl2ZnAg
Source: Alexandria
Functional: GGA-PBEsol
Structure: optimized geometry

Cell: 5.650 5.650 5.650 Å, 135.88 135.88 64.16°
Fractional coordinates of all 4 atoms:
Tl: 0.000 0.000 0.000
Tl: 0.750 0.250 0.500
Zn: 0.500 0.500 0.000
Ag: 0.250 0.750 0.500

Results
Raw total energy ... -9.36 eV per formula unit
Formation enthalpy at 0 K ... 0.199 eV/atom
Relative energy among the computed polymorphs ... 0.34 eV/f.u.
Crystal system ... tetragonal